A plane-wave DFT calculation with PBE was carried out for a relaxed structure of CdMo2N.

Computed properties:
Formation energy (no corrections) ... 306.9 meV/atom
Symmetry ... R-3m, No. 166

Cell: 3.099 3.099 8.055 Å, 78.91 78.91 60.00°
Fractional coordinates of all 4 atoms:
Mo  0.120  0.120  0.639
Mo  0.880  0.880  0.361
N  0.500  0.500  0.500
Cd  0.000  0.000  0.000

---

A plane-wave DFT calculation with PBE was carried out for a relaxed structure of SrCr2GeI.

Computed properties:
Formation energy (no corrections) ... 1498.3 meV/atom
Symmetry ... P4/mmm, No. 123

Cell: 6.121 5.950 6.121 Å, 90.00 90.00 90.00°
Fractional coordinates of all 5 atoms:
I  0.000  0.500  0.000
Sr  0.000  0.000  0.000
Ge  0.500  0.500  0.500
Cr  0.000  0.000  0.500
Cr  0.500  0.000  0.000

---

A plane-wave DFT calculation with PBE was carried out for a relaxed structure of CePm7Y4.

Computed properties:
Energy of formation from the pure elements ... 0.2255 eV/atom
Symmetry ... C2/m, No. 12

Cell: 9.355 9.355 9.471 Å, 56.48 56.48 36.86°
Fractional coordinates of all 12 atoms:
Ce  0.000  0.000  0.000
Pm  0.166  0.166  0.976
Pm  0.834  0.834  0.024
Pm  0.942  0.942  0.396
Pm  0.058  0.058  0.604
Pm  0.699  0.699  0.489
Pm  0.500  0.500  0.000
Pm  0.301  0.301  0.511
Y  0.410  0.410  0.730
Y  0.590  0.590  0.270
Y  0.251  0.251  0.206
Y  0.749  0.749  0.794

---

A plane-wave DFT calculation with PBE was carried out for a relaxed structure of Tm2PaCo9.

Computed properties:
Energy of formation from the pure elements ... -0.2316 eV/atom
Symmetry ... R-3m, No. 166

Cell: 4.895 4.895 8.646 Å, 73.56 73.56 60.00°
Fractional coordinates of all 12 atoms:
Tm  0.860  0.860  0.421
Tm  0.140  0.140  0.579
Pa  0.000  0.000  0.000
Co  0.666  0.666  0.003
Co  0.334  0.334  0.997
Co  0.500  0.500  0.500
Co  0.416  0.416  0.246
Co  0.921  0.416  0.246
Co  0.416  0.921  0.246
Co  0.584  0.584  0.754
Co  0.584  0.079  0.754
Co  0.079  0.584  0.754

---

A plane-wave DFT calculation with PBE was carried out for a relaxed structure of GaFe8.

Computed properties:
Energy of formation from the pure elements ... 0.0719 eV/atom
Symmetry ... I4/mmm, No. 139

Cell: 3.573 5.573 5.573 Å, 84.10 71.30 71.30°
Fractional coordinates of all 9 atoms:
Ga  0.000  0.000  0.000
Fe  0.324  0.000  0.352
Fe  0.676  0.000  0.648
Fe  0.652  0.348  0.348
Fe  0.324  0.352  0.000
Fe  0.000  0.348  0.652
Fe  0.676  0.648  0.000
Fe  0.348  0.652  0.652
Fe  0.000  0.652  0.348

---

A plane-wave DFT calculation with PBE was carried out for a relaxed structure of La2RePt.

Computed properties:
Energy of formation from the pure elements ... -0.1267 eV/atom
Symmetry ... Cm, No. 8

Cell: 6.526 6.526 4.873 Å, 68.14 68.14 30.12°
Fractional coordinates of all 4 atoms:
La  0.969  0.969  0.031
La  0.765  0.765  0.735
Pt  0.546  0.546  0.455
Re  0.220  0.220  0.279